# PBE Ac3Y7, optimized geometry
data_Ac3Y7
_chemical_formula_sum 'Ac6 Y14'
_cell_length_a 18.835
_cell_length_b 5.273
_cell_length_c 7.360
_cell_angle_alpha 90.00
_cell_angle_beta 102.18
_cell_angle_gamma 90.00
_symmetry_space_group_name_H-M 'C 1 2/m 1'
_symmetry_Int_Tables_number 12
loop_
_symmetry_equiv_pos_as_xyz
'x,y,z'
'-x,-y,-z'
'-x,y,-z'
'x,-y,z'
'x+1/2,y+1/2,z'
'-x+1/2,-y+1/2,-z'
'-x+1/2,y+1/2,-z'
'x+1/2,-y+1/2,z'
loop_
_atom_site_label
_atom_site_type_symbol
_atom_site_fract_x
_atom_site_fract_y
_atom_site_fract_z
Ac1 Ac 0.000 0.000 0.000
Ac2 Ac 0.197 0.000 0.605
Y1 Y 0.000 0.000 0.500
Y2 Y 0.098 0.500 0.302
Y3 Y 0.100 0.500 0.803
Y4 Y 0.200 0.000 0.100
# ΔH_f (0 K) = 0.053 eV per atom



# PBE HfZr3In2, optimized geometry
data_HfZr3In2
_chemical_formula_sum 'Hf4 Zr12 In8'
_cell_length_a 14.754
_cell_length_b 6.030
_cell_length_c 6.490
_cell_angle_alpha 90.00
_cell_angle_beta 102.71
_cell_angle_gamma 90.00
_symmetry_space_group_name_H-M 'C 1 2/c 1'
_symmetry_Int_Tables_number 15
loop_
_symmetry_equiv_pos_as_xyz
'x,y,z'
'-x,-y,-z'
'-x,y,-z+1/2'
'x,-y,z+1/2'
'x+1/2,y+1/2,z'
'-x+1/2,-y+1/2,-z'
'-x+1/2,y+1/2,-z+1/2'
'x+1/2,-y+1/2,z+1/2'
loop_
_atom_site_label
_atom_site_type_symbol
_atom_site_fract_x
_atom_site_fract_y
_atom_site_fract_z
Hf1 Hf 0.000 0.236 0.250
Zr1 Zr 0.000 0.236 0.750
Zr2 Zr 0.169 0.003 0.084
In1 In 0.150 0.498 0.575
# E above lowest polymorph = 0.16 eV per formula unit
# ΔH_f (0 K) = -0.099 eV per atom



# PBE HSeF, optimized geometry
data_HSeF
_chemical_formula_sum 'H2 Se2 F2'
_cell_length_a 2.813
_cell_length_b 4.655
_cell_length_c 8.205
_cell_angle_alpha 89.53
_cell_angle_beta 86.43
_cell_angle_gamma 90.00
_symmetry_space_group_name_H-M 'P 1'
_symmetry_Int_Tables_number 1
loop_
_symmetry_equiv_pos_as_xyz
'x,y,z'
loop_
_atom_site_label
_atom_site_type_symbol
_atom_site_fract_x
_atom_site_fract_y
_atom_site_fract_z
H1 H 0.000 0.000 0.000
H2 H 0.059 0.500 0.009
Se1 Se 0.067 0.614 0.565
Se2 Se 0.089 0.116 0.443
F1 F 0.209 0.685 0.025
F2 F 0.849 0.186 0.984
# E above lowest polymorph = 0.06 eV per formula unit